VASP calculation (PBE) on ErMgH6Rh2 after structural relaxation.

a b c (Å): 4.538 4.538 5.749
angles (deg): 66.76 66.76 60.00
Atoms (fractional coordinates):
Er  0.000  0.000  0.000
Mg  0.500  0.500  0.500
H  0.059  0.559  0.824
H  0.559  0.059  0.824
H  0.441  0.441  0.176
H  0.941  0.441  0.176
H  0.441  0.941  0.176
H  0.559  0.559  0.824
Rh  0.790  0.790  0.630
Rh  0.210  0.210  0.370

Values from the calculation:
- Raw total energy: -4.486 eV/atom
- SG: No. 166
- Density of states at the Fermi level: 2.5 states/eV per cell

=====

VASP calculation (PBE) on Be2SbAs after structural relaxation.

a b c (Å): 4.433 4.433 3.397
angles (deg): 90.00 90.00 100.87
Atoms (fractional coordinates):
Sb  0.500  0.000  0.500
As  0.000  0.500  0.500
Be  0.000  0.000  0.000
Be  0.500  0.500  0.000

Values from the calculation:
- Raw total energy: -3.404 eV/atom
- SG: No. 65
- Energy above the lowest structure with this stoichiometry: 513 meV/atom
- Density of states at the Fermi level: 1.6 states/eV per cell

=====

Q: raw total energy of number 1 (ErMgH6Rh2)?
A: -4.486 eV/atom

=====

Q: Which of these has the highest density of states at the Fermi level?
A: ErMgH6Rh2

=====

Q: Look up the density of states at the Fermi level of the first one.
A: 2.5 states/eV per cell